Record 1
This record from Alexandria via LeMat-Bulk describes a geometry-optimized BaNa3As2 structure. The functional is GGA-PBE.

Cell lengths 4.8033, 9.2691, 9.2679 Å; angles 59.53, 74.98, 74.98 degrees
With the nearest neighbours (Å) after each atom.
Positions (direct):
Ba 0.8642 0.1355 0.1362  6 As 3.42-3.57, 8 Na 3.54-3.78
Ba 0.1358 0.8645 0.8638  6 As 3.42-3.57, 8 Na 3.54-3.78
Na 0.3370 0.4760 0.8501  3 As 2.98-2.99
Na 0.9996 0.3404 0.6603  1 Na 2.94, 2 As 3.04
Na 0.6627 0.1509 0.5237  3 As 2.98-2.99
Na 0.3373 0.8491 0.4763  3 As 2.98-2.99
Na 0.0004 0.6596 0.3397  1 Na 2.94, 2 As 3.04
Na 0.6630 0.5240 0.1499  3 As 2.98-2.99
As 0.4999 0.1369 0.8633  1 As 2.52
As 0.5001 0.8631 0.1367  1 As 2.52
As 0.8074 0.6925 0.6927  6 Na 2.99-3.31
As 0.1926 0.3075 0.3073  6 Na 2.99-3.31

Results
VASP energy = -37.7 eV/cell
Space group = C2/m

---

Record 2
This record from Alexandria via LeMat-Bulk describes a geometry-optimized BaNa4As2 structure. The functional is GGA-PBE.

Cell lengths 4.9246, 8.8933, 8.8933 Å; angles 90.00, 90.00, 90.00 degrees
With the nearest neighbours (Å) after each atom.
Positions (direct):
Ba 0.5000 0.0000 0.0000  6 As 3.60-3.65, 12 Na 3.88-3.95
Ba 0.0000 0.5000 0.5000  6 As 3.60-3.65, 12 Na 3.88-3.95
Na 0.0000 0.0971 0.3331  3 As 2.96-3.01, 1 Na 2.97
Na 0.0000 0.9029 0.6669  3 As 2.96-3.01, 1 Na 2.97
Na 0.5000 0.1669 0.5971  3 As 2.96-3.01, 1 Na 2.97
Na 0.5000 0.8331 0.4029  3 As 2.96-3.01, 1 Na 2.97
Na 0.5000 0.4029 0.8331  3 As 2.96-3.01, 1 Na 2.97
Na 0.5000 0.5971 0.1669  3 As 2.96-3.01, 1 Na 2.97
Na 0.0000 0.3331 0.0971  3 As 2.96-3.01, 1 Na 2.97
Na 0.0000 0.6669 0.9029  3 As 2.96-3.01, 1 Na 2.97
As 0.0000 0.2139 0.7861  6 Na 2.96-3.01
As 0.0000 0.7861 0.2139  6 Na 2.96-3.01
As 0.5000 0.7139 0.7139  6 Na 2.96-3.01
As 0.5000 0.2861 0.2861  6 Na 2.96-3.01

Results
VASP energy = -41.1 eV/cell
Space group = P4_2/mnm
Fermi-level density of states = 1.562 states/eV/cell

---

Record 3
This record from Alexandria via LeMat-Bulk describes a geometry-optimized BaNa2As2 structure. The functional is GGA-PBE.

Cell lengths 4.7262, 4.7262, 7.1030 Å; angles 70.57, 70.57, 90.00 degrees
With the nearest neighbours (Å) after each atom.
Positions (direct):
Na 0.7500 0.2500 0.5000  4 As 3.01, 4 Na 3.34
Na 0.2500 0.7500 0.5000  4 As 3.01, 4 Na 3.34
As 0.3985 0.3985 0.2031  1 As 2.55
As 0.6015 0.6015 0.7969  1 As 2.55
Ba 0.0000 0.0000 0.0000  8 As 3.58, 8 Na 3.92

Results
Energy relative to the lowest polymorph listed for this composition = 0.0000 eV/atom
Space group = I4/mmm
Fermi-level density of states = 0.496 states/eV/cell

---

Record 4
This record from Alexandria via LeMat-Bulk describes a geometry-optimized BaNa2As structure. The functional is GGA-PBE.

Cell lengths 4.8227, 4.8227, 12.1354 Å; angles 78.54, 78.54, 90.00 degrees
With the nearest neighbours (Å) after each atom.
Positions (direct):
Na 0.5567 0.1250 0.2500  2 Na 2.98, 2 As 3.27
Na 0.1933 0.6250 0.2500  2 Na 2.98, 2 As 3.27
Na 0.3750 0.4433 0.7500  2 Na 2.98, 2 As 3.27
Na 0.8750 0.8067 0.7500  2 Na 2.98, 2 As 3.27
As 0.5000 0.5000 0.0000  4 Na 3.27, 4 Ba 3.41
As 0.2500 0.7500 0.5000  4 Na 3.27, 4 Ba 3.41
Ba 0.0000 0.0000 0.0000  4 As 3.41, 4 Na 3.51
Ba 0.7500 0.2500 0.5000  4 As 3.41, 4 Na 3.51

Results
VASP energy = -21.1 eV/cell
Space group = I-42d
Fermi-level density of states = 3.373 states/eV/cell

---

Record 5
This record from Alexandria via LeMat-Bulk describes a geometry-optimized BaNaAs2 structure. The functional is GGA-PBE.

Cell lengths 4.6286, 8.7908, 11.4190 Å; angles 90.00, 90.00, 90.00 degrees
With the nearest neighbours (Å) after each atom.
Positions (direct):
Ba 0.7500 0.8788 0.1308  9 As 3.42-3.69
Ba 0.2500 0.1212 0.8692  9 As 3.42-3.69
Ba 0.7500 0.3788 0.3692  9 As 3.42-3.69
Ba 0.2500 0.6212 0.6308  9 As 3.42-3.69
Na 0.2500 0.5014 0.1096  5 As 2.93-3.14
Na 0.2500 0.0014 0.3904  5 As 2.93-3.14
Na 0.7500 0.4986 0.8904  5 As 2.93-3.14
Na 0.7500 0.9986 0.6096  5 As 2.93-3.14
As 0.7500 0.8244 0.8280  2 As 2.64, 2 Na 2.93-2.95
As 0.2500 0.1756 0.1720  2 As 2.64, 2 Na 2.93-2.95
As 0.7500 0.3244 0.6720  2 As 2.64, 2 Na 2.93-2.95
As 0.2500 0.6756 0.3280  2 As 2.64, 2 Na 2.93-2.95
As 0.7500 0.7624 0.4163  2 As 2.64
As 0.2500 0.7376 0.9163  2 As 2.64
As 0.7500 0.2624 0.0837  2 As 2.64
As 0.2500 0.2376 0.5837  2 As 2.64

Results
Energy relative to the lowest polymorph listed for this composition = 0.0000 eV/atom
Space group = Pnma
Fermi-level density of states = 5.273 states/eV/cell

---

Record 6
This record from Alexandria via LeMat-Bulk describes a geometry-optimized BaNa3As structure. The functional is GGA-PBE.

Cell lengths 6.3078, 6.3078, 6.3078 Å; angles 90.00, 90.00, 90.00 degrees
With the nearest neighbours (Å) after each atom.
Positions (direct):
Na 0.0000 0.5000 0.0000  2 Ba 3.15
Na 0.0000 0.0000 0.5000  2 Ba 3.15
Na 0.5000 0.0000 0.0000  2 Ba 3.15
As 0.5000 0.5000 0.5000  12 Na 4.46
Ba 0.0000 0.0000 0.0000  6 Na 3.15

Results
Energy relative to the lowest polymorph listed for this composition = 1.1386 eV/atom
Space group = Pm-3m
Fermi-level density of states = 4.590 states/eV/cell

---

Record 7
This record from Alexandria via LeMat-Bulk describes a geometry-optimized BaNaAs4 structure. The functional is GGA-PBE.

Cell lengths 5.9424, 5.9424, 5.9424 Å; angles 60.00, 60.00, 60.00 degrees
With the nearest neighbours (Å) after each atom.
Positions (direct):
Na 0.0000 0.0000 0.0000  12 As 3.47, 4 Ba 3.64
As 0.6311 0.6311 0.1066  6 As 2.83-3.12
As 0.6311 0.1066 0.6311  6 As 2.83-3.12
As 0.6311 0.6311 0.6311  6 As 2.83-3.12
As 0.1066 0.6311 0.6311  6 As 2.83-3.12
Ba 0.2500 0.2500 0.2500  12 As 3.50, 4 Na 3.64

Results
VASP energy = -23.8 eV/cell
Space group = F-43m
Fermi-level density of states = 4.736 states/eV/cell

---

Record 8
This record from Alexandria via LeMat-Bulk describes a geometry-optimized BaNa2As4 structure. The functional is GGA-PBE.

Cell lengths 7.1084, 5.7937, 10.1843 Å; angles 106.53, 104.51, 90.00 degrees
With the nearest neighbours (Å) after each atom.
Positions (direct):
Ba 0.7500 0.2569 0.0000  8 As 3.34-3.74
Ba 0.2500 0.7431 0.0000  8 As 3.34-3.74
Na 0.1453 0.7962 0.3965  7 As 3.06-3.40
Na 0.3547 0.3997 0.6035  7 As 3.06-3.40
Na 0.8547 0.2038 0.6035  7 As 3.06-3.40
Na 0.6453 0.6003 0.3965  7 As 3.06-3.40
As 0.7078 0.8958 0.2002  2 As 2.47-2.57
As 0.7922 0.6956 0.7998  2 As 2.47-2.57
As 0.2922 0.1042 0.7998  2 As 2.47-2.57
As 0.2078 0.3044 0.2002  2 As 2.47-2.57
As 0.9714 0.2465 0.3312  2 As 2.47-2.57
As 0.5286 0.9153 0.6688  2 As 2.47-2.57
As 0.0286 0.7535 0.6688  2 As 2.47-2.57
As 0.4714 0.0847 0.3312  2 As 2.47-2.57

Results
VASP energy = -53.7 eV/cell
Space group = C2/c
Fermi-level density of states = 0.449 states/eV/cell

---

Record 9
This record from Alexandria via LeMat-Bulk describes a geometry-optimized BaNa2As2 structure. The functional is GGA-PBE.

Cell lengths 4.5195, 5.0745, 12.5859 Å; angles 96.81, 90.00, 90.00 degrees
With the nearest neighbours (Å) after each atom.
Positions (direct):
Ba 0.2500 0.6727 0.2560  7 As 3.52-3.79, 6 Na 3.78-3.86
Ba 0.7500 0.3273 0.7440  7 As 3.52-3.79, 6 Na 3.78-3.86
Na 0.2500 0.8561 0.8839  5 As 2.82-3.10
Na 0.7500 0.1439 0.1161  5 As 2.82-3.10
Na 0.2500 0.2488 0.5000  4 As 2.98-3.20
Na 0.7500 0.7512 0.5000  4 As 2.98-3.20
As 0.2500 0.7947 0.6557  3 Na 2.85-2.98
As 0.7500 0.2053 0.3443  3 Na 2.85-2.98
As 0.2500 0.3799 0.9877  2 As 2.57, 1 Na 2.82
As 0.7500 0.6201 0.0123  2 As 2.57, 1 Na 2.82

Results
Energy relative to the lowest polymorph listed for this composition = 0.0376 eV/atom
Space group = P2_1/m
Fermi-level density of states = 4.071 states/eV/cell

---

Record 10
This record from Alexandria via LeMat-Bulk describes a geometry-optimized BaNaNiAs2 structure. The functional is GGA-PBE.

Cell lengths 4.8774, 5.3299, 4.8774 Å; angles 90.00, 90.00, 90.00 degrees
With the nearest neighbours (Å) after each atom.
Positions (direct):
Ni 0.0000 0.0000 0.0000  4 As 2.44, 2 Ba 2.66
As 0.0000 0.0000 0.5000  2 Ni 2.44
As 0.5000 0.0000 0.0000  2 Ni 2.44
Ba 0.0000 0.5000 0.0000  2 Ni 2.66
Na 0.5000 0.5000 0.5000  4 Ba 3.45, 8 As 3.61

Results
VASP energy = -19.1 eV/cell
Space group = P4/mmm
Fermi-level density of states = 2.248 states/eV/cell

---

Record 11
This record from Alexandria via LeMat-Bulk describes a geometry-optimized BaNa2AsO structure. The functional is GGA-PBE.

Cell lengths 6.7163, 6.7163, 7.1355 Å; angles 118.07, 118.07, 90.00 degrees
With the nearest neighbours (Å) after each atom.
Positions (direct):
Ba 0.7501 0.7501 0.5003  2 O 2.66
Ba 0.2501 0.2501 0.5003  2 O 2.66
Na 0.2992 0.7992 0.0002  2 O 2.42
Na 0.7992 0.7009 0.0002  2 O 2.42
Na 0.7009 0.2009 0.0002  2 O 2.42
Na 0.2009 0.2992 0.0002  2 O 2.42
As 0.7499 0.2499 0.4997  4 Na 3.27-3.28, 4 Ba 3.36
As 0.2499 0.7499 0.4997  4 Na 3.27-3.28, 4 Ba 3.36
O 0.0001 0.0001 0.0001  4 Na 2.42, 2 Ba 2.66
O 0.5001 0.5001 0.0001  4 Na 2.42, 2 Ba 2.66

Results
Energy relative to the lowest polymorph listed for this composition = 0.0000 eV/atom
ΔE_f (raw) = -1.0616 eV/atom
Space group = I4/mcm
Fermi-level density of states = 10.738 states/eV/cell

---

Record 12
This record from Alexandria via LeMat-Bulk describes a geometry-optimized Ba2NaAsO structure. The functional is GGA-PBE.

Cell lengths 5.3959, 4.7088, 5.3959 Å; angles 90.00, 90.00, 90.00 degrees
With the nearest neighbours (Å) after each atom.
Positions (direct):
Na 0.0000 0.5000 0.0000  2 O 2.35
As 0.5000 0.5000 0.5000  8 Ba 3.58, 4 Na 3.82
Ba 0.0000 0.0000 0.5000  2 O 2.70
Ba 0.5000 0.0000 0.0000  2 O 2.70
O 0.0000 0.0000 0.0000  2 Na 2.35

Results
ΔE_f (raw) = -1.4608 eV/atom
Space group = P4/mmm
Fermi-level density of states = 0.000 states/eV/cell